(1)
## Sm8ZnTe3Se3 (PBE-GGA)

Data for Sm8ZnTe3Se3 after structural relaxation.

POSCAR file:
```
Sm8ZnTe3Se3
1.0
8.502 0.000 0.000
-4.251 7.363 -0.026
0.000 -4.883 7.165
Te Sm Se Zn
3 8 3 1
Cartesian
2.125 3.681 -0.013 Te
-2.125 3.681 -0.013 Te
0.000 0.000 0.000 Te
2.117 3.695 5.180 Sm
4.251 2.451 1.946 Sm
0.000 2.461 1.987 Sm
6.368 -1.215 1.959 Sm
4.251 0.018 5.152 Sm
0.000 0.028 5.193 Sm
2.134 -1.215 1.959 Sm
-2.117 3.695 5.180 Sm
2.125 1.240 3.569 Se
-2.125 1.240 3.569 Se
4.251 -2.441 3.583 Se
0.000 -2.441 3.583 Zn
```

Summary:
V in Å³/atom: 29.8
Formation energy from raw total energies in eV per atom: -1.27

(2)
## Ba4TlAuO (PBE-GGA)

Data for Ba4TlAuO after structural relaxation.

POSCAR file:
```
Ba4TlAuO
1.0
7.498 0.000 0.000
0.000 7.633 0.000
-3.749 0.000 9.195
Au Ba Tl O
2 8 2 2
Cartesian
0.000 1.908 2.248 Au
3.749 5.725 6.947 Au
1.875 3.816 4.598 Ba
3.749 1.908 1.543 Ba
-1.875 0.000 4.598 Ba
3.749 1.908 8.066 Ba
-1.875 3.816 4.598 Ba
0.000 5.725 7.652 Ba
1.875 0.000 4.598 Ba
0.000 5.725 1.129 Ba
0.000 1.908 7.137 Tl
3.749 5.725 2.058 Tl
0.000 5.725 5.035 O
3.749 1.908 4.160 O
```

Summary:
V in Å³/atom: 37.6
Formation energy from raw total energies in eV per atom: -0.98